(1)
Material: Pr2Au17
Method: DFT, PBE
State: relaxed

POSCAR file:
```
Pr2Au17
1.0
4.8236 2.7849 4.7853
-4.8236 2.7849 4.7853
0.0000 -5.5698 4.7853
Pr Au
2 17
Direct
0.1638 0.1638 0.1638
0.8362 0.8362 0.8362
0.0000 0.5000 0.5000
0.1434 0.1434 0.6590
0.1434 0.6590 0.1434
0.1962 0.5000 0.8038
0.1962 0.8038 0.5000
0.3409 0.8566 0.8566
0.3976 0.3976 0.3976
0.5000 0.0000 0.5000
0.5000 0.1962 0.8038
0.5000 0.5000 0.0000
0.5000 0.8038 0.1962
0.6024 0.6024 0.6024
0.6591 0.1434 0.1434
0.8038 0.1962 0.5000
0.8038 0.5000 0.1962
0.8566 0.3409 0.8566
0.8566 0.8566 0.3409
```

Calculated values
- Energy relative to the elements: -0.27 eV/atom
- Calculated total energy: -70.3 eV for the cell shown
- Total moment: 0.00 μB/cell
- Calculated density: 15.63 g cm⁻³
- Fermi-level density of states: 0.364 states/eV/atom

---

(2)
Material: Pm2ThPaSb5
Method: DFT, PBE
State: relaxed

POSCAR file:
```
Pm2ThPaSb5
1.0
5.6070 0.0000 0.0000
0.0000 5.6070 0.0000
0.0000 0.0000 11.6695
Pm Th Pa Sb
2 1 1 5
Direct
0.0000 0.0000 0.1865
0.0000 0.0000 0.8135
0.5000 0.5000 0.0000
0.5000 0.5000 0.5000
0.0000 0.0000 0.5000
0.0000 0.5000 0.0000
0.5000 0.0000 0.0000
0.5000 0.5000 0.2573
0.5000 0.5000 0.7427
```

Calculated values
- Calculated total energy: -46.4 eV for the cell shown
- Total moment: 0.32 μB/cell
- Calculated density: 6.16 g cm⁻³
- Fermi-level density of states: 0.527 states/eV/atom
- Formation energy without anion corrections: 0.06 eV per atom

---

(3)
Material: Ce2ErCd2Hg2
Method: DFT, PBE
State: relaxed

POSCAR file:
```
Ce2ErCd2Hg2
1.0
2.4305 1.4033 8.6335
-2.4305 1.4033 8.6335
0.0000 -2.8065 8.6335
Ce Er Cd Hg
2 1 2 2
Direct
0.1381 0.1381 0.1381
0.8619 0.8619 0.8619
0.0000 0.0000 0.0000
0.2684 0.2684 0.2684
0.7316 0.7316 0.7316
0.4002 0.4002 0.4002
0.5998 0.5998 0.5998
```

Calculated values
- Energy relative to the elements: -0.18 eV/atom
- Calculated total energy: -20.1 eV for the cell shown
- Total moment: 2.04 μB/cell
- Calculated density: 10.09 g cm⁻³
- Fermi-level density of states: 1.881 states/eV/atom

---

(4)
Material: Pu2Pa7Al2
Method: DFT, PBE
State: relaxed

POSCAR file:
```
Pu2Pa7Al2
1.0
4.0528 -4.3664 0.0000
4.0528 4.3664 0.0000
-1.5152 0.0000 7.2723
Pu Pa Al
2 7 2
Direct
0.1264 0.1264 0.4481
0.8736 0.8736 0.5519
0.0395 0.4239 0.6983
0.3622 0.3622 0.0819
0.4239 0.0395 0.6983
0.5000 0.5000 0.5000
0.5761 0.9605 0.3017
0.6378 0.6378 0.9181
0.9605 0.5761 0.3017
0.1589 0.8411 0.0000
0.8411 0.1589 0.0000
```

Calculated values
- Energy relative to the elements: 0.08 eV/atom
- Calculated total energy: -101.8 eV for the cell shown
- Total moment: 0.00 μB/cell
- Calculated density: 13.93 g cm⁻³
- Fermi-level density of states: 2.180 states/eV/atom

---

(5)
Material: Na2SrGa4
Method: DFT, PBE
State: relaxed

POSCAR file:
```
Na2SrGa4
1.0
2.2182 1.2807 10.1008
-2.2182 1.2807 10.1008
0.0000 -2.5614 10.1008
Na Sr Ga
2 1 4
Direct
0.1356 0.1356 0.1356
0.8644 0.8644 0.8644
0.0000 0.0000 0.0000
0.2567 0.2567 0.2567
0.4094 0.4094 0.4094
0.5906 0.5906 0.5906
0.7433 0.7433 0.7433
```

Calculated values
- Energy relative to the elements: -0.28 eV/atom
- Calculated total energy: -18.4 eV for the cell shown
- Total moment: 0.00 μB/cell
- Calculated density: 3.98 g cm⁻³
- Fermi-level density of states: 0.575 states/eV/atom

---

(6)
Material: Rb3Li2Bi2
Method: DFT, PBE
State: relaxed

POSCAR file:
```
Rb3Li2Bi2
1.0
7.2129 0.0000 0.0000
0.0000 9.6981 0.0000
0.0000 0.0000 15.7708
Rb Li Bi
12 8 8
Direct
0.1147 0.1212 0.1021
0.1147 0.1212 0.3979
0.1147 0.3788 0.6021
0.1147 0.3788 0.8979
0.3163 0.7163 0.7500
0.3163 0.7837 0.2500
0.6837 0.2163 0.7500
0.6837 0.2837 0.2500
0.8853 0.6212 0.1021
0.8853 0.6212 0.3979
0.8853 0.8788 0.6021
0.8853 0.8788 0.8979
0.3992 0.0226 0.5874
0.3992 0.0226 0.9126
0.3992 0.4774 0.0874
0.3992 0.4774 0.4126
0.6008 0.5226 0.5874
0.6008 0.5226 0.9126
0.6008 0.9774 0.0874
0.6008 0.9774 0.4126
0.2061 0.0800 0.7500
0.2061 0.4200 0.2500
0.3908 0.7500 0.0000
0.3908 0.7500 0.5000
0.6092 0.2500 0.0000
0.6092 0.2500 0.5000
0.7939 0.5800 0.7500
0.7939 0.9200 0.2500
```

Calculated values
- Energy relative to the elements: -0.34 eV/atom
- Calculated total energy: -67.4 eV for the cell shown
- Total moment: 4.01 μB/cell
- Calculated density: 4.14 g cm⁻³
- Fermi-level density of states: 0.750 states/eV/atom

---

(7)
Material: Pr12NdHg6
Method: DFT, PBE
State: relaxed

POSCAR file:
```
Pr12NdHg6
1.0
5.8356 3.3692 5.0047
-5.8356 3.3692 5.0047
0.0000 -6.7384 5.0047
Pr Nd Hg
12 1 6
Direct
0.0884 0.3959 0.1265
0.1265 0.0884 0.3959
0.1884 0.5792 0.4676
0.3959 0.1265 0.0884
0.4208 0.5324 0.8116
0.4676 0.1884 0.5792
0.5324 0.8116 0.4208
0.5792 0.4676 0.1884
0.6041 0.8735 0.9116
0.8116 0.4208 0.5324
0.8735 0.9116 0.6041
0.9116 0.6041 0.8735
0.0000 0.0000 0.0000
0.1239 0.2757 0.7485
0.2515 0.8761 0.7243
0.2757 0.7485 0.1239
0.7243 0.2515 0.8761
0.7485 0.1239 0.2757
0.8761 0.7243 0.2515
```

Calculated values
- Energy relative to the elements: -0.20 eV/atom
- Calculated total energy: -67.8 eV for the cell shown
- Total moment: 0.00 μB/cell
- Calculated density: 8.55 g cm⁻³
- Fermi-level density of states: 1.130 states/eV/atom

---

(8)
Material: Ce4CoP
Method: DFT, PBE
State: relaxed

POSCAR file:
```
Ce4CoP
1.0
4.1678 -6.2309 0.0000
4.1678 6.2309 0.0000
-2.7327 0.0000 5.0787
Ce Co P
8 2 2
Direct
0.0598 0.6731 0.9146
0.2189 0.3909 0.6830
0.3269 0.9402 0.5854
0.3909 0.2189 0.1830
0.6091 0.7811 0.8170
0.6731 0.0598 0.4146
0.7811 0.6091 0.3170
0.9402 0.3269 0.0854
0.0030 0.9970 0.7500
0.9970 0.0030 0.2500
0.3853 0.6147 0.2500
0.6147 0.3853 0.7500
```

Calculated values
- Energy relative to the elements: -0.49 eV/atom
- Calculated total energy: -78.4 eV for the cell shown
- Total moment: 0.01 μB/cell
- Calculated density: 8.19 g cm⁻³
- Fermi-level density of states: 2.204 states/eV/atom

---

(9)
Material: ZrInSb2
Method: DFT, PBE
State: relaxed

POSCAR file:
```
ZrInSb2
1.0
-1.9924 2.4048 5.1095
1.9924 -2.4048 5.1095
1.9924 2.4048 -5.1095
Zr In Sb
1 1 2
Direct
0.0000 0.0000 0.0000
0.2443 0.7443 0.5000
0.4947 0.4947 0.0000
0.7550 0.2550 0.5000
```

Calculated values
- Calculated total energy: -20.1 eV for the cell shown
- Total moment: 0.00 μB/cell
- Calculated density: 7.62 g cm⁻³
- Fermi-level density of states: 0.624 states/eV/atom
- Formation energy without anion corrections: -0.14 eV per atom

---

(10)
Material: SnPtS2Cl
Method: DFT, PBE
State: relaxed

POSCAR file:
```
SnPtS2Cl
1.0
4.7773 0.0000 0.0000
0.0000 4.7773 0.0000
0.0000 0.0000 4.8456
Sn Pt S Cl
1 1 2 1
Direct
0.0000 0.0000 0.0000
0.5000 0.5000 0.5000
0.0000 0.5000 0.5000
0.5000 0.0000 0.5000
0.5000 0.5000 0.0000
```

Calculated values
- Excess energy over the best structure of this formula in the dataset: 0.000 eV per atom
- Calculated total energy: -20.1 eV for the cell shown
- Total moment: 0.00 μB/cell
- Calculated density: 6.21 g cm⁻³
- Fermi-level density of states: 0.719 states/eV/atom
- Formation energy without anion corrections: 0.01 eV per atom

---

(11)
Material: Nd2Ho12Er5
Method: DFT, PBE
State: relaxed

POSCAR file:
```
Nd2Ho12Er5
1.0
6.0777 0.0000 0.0000
-0.8638 8.7605 0.0000
-2.6930 -0.5677 11.2619
Nd Ho Er
2 12 5
Direct
0.2144 0.4734 0.4210
0.7856 0.5266 0.5790
0.0108 0.7381 0.2103
0.0978 0.3738 0.1093
0.2531 0.1023 0.3167
0.3429 0.9466 0.8328
0.3479 0.5744 0.7360
0.4160 0.2089 0.6327
0.5840 0.7911 0.3673
0.6521 0.4256 0.2640
0.6571 0.0534 0.1672
0.7469 0.8977 0.6833
0.9022 0.6262 0.8907
0.9892 0.2619 0.7897
0.0000 0.0000 0.0000
0.1643 0.8445 0.5254
0.4526 0.6883 0.0497
0.5474 0.3117 0.9503
0.8357 0.1555 0.4746
```

Calculated values
- Excess energy over the best structure of this formula in the dataset: 0.000 eV per atom
- Energy relative to the elements: 0.05 eV/atom
- Calculated total energy: -86.2 eV for the cell shown
- Total moment: 0.00 μB/cell
- Calculated density: 8.60 g cm⁻³
- Fermi-level density of states: 1.547 states/eV/atom

---

(12)
Material: PuMgHgRh
Method: DFT, PBE
State: relaxed

POSCAR file:
```
PuMgHgRh
1.0
3.2235 0.0000 0.0000
0.0000 3.2235 0.0000
0.0000 0.0000 7.8692
Pu Mg Hg Rh
1 1 1 1
Direct
0.0000 0.0000 0.0000
0.0000 0.0000 0.5716
0.5000 0.5000 0.3140
0.5000 0.5000 0.7655
```

Calculated values
- Excess energy over the best structure of this formula in the dataset: 0.000 eV per atom
- Energy relative to the elements: -0.35 eV/atom
- Calculated total energy: -25.0 eV for the cell shown
- Total moment: 5.43 μB/cell
- Calculated density: 11.61 g cm⁻³
- Fermi-level density of states: 1.973 states/eV/atom

---

(13)
Material: Cs3Pu3SbSe8
Method: DFT, PBE
State: relaxed

POSCAR file:
```
Cs3Pu3SbSe8
1.0
4.2725 2.4667 8.4335
-4.2725 2.4667 8.4335
0.0000 -4.9335 8.4335
Cs Pu Sb Se
3 3 1 8
Direct
0.0000 0.5000 0.5000
0.5000 0.0000 0.5000
0.5000 0.5000 0.0000
0.0000 0.0000 0.5000
0.0000 0.5000 0.0000
0.5000 0.0000 0.0000
0.5000 0.5000 0.5000
0.2243 0.7279 0.7279
0.2276 0.2276 0.2276
0.2721 0.2721 0.7757
0.2721 0.7757 0.2721
0.7279 0.2243 0.7279
0.7279 0.7279 0.2243
0.7724 0.7724 0.7724
0.7757 0.2721 0.2721
```

Calculated values
- Calculated total energy: -96.0 eV for the cell shown
- Total moment: 14.00 μB/cell
- Calculated density: 5.87 g cm⁻³
- Fermi-level density of states: 2.059 states/eV/atom
- Formation energy without anion corrections: -1.23 eV per atom